<A>
Computed, not measured: crystalline TlHRh2 at its relaxed geometry at the PBE level of DFT.

The structure belongs to space group I-42d (No. 122); the cell edges are 6.077, 6.077 and 6.013 Å and the angles 90.00°, 90.00° and 90.00°. The distinct sites, in fractional coordinates, are Tl at (0.000, 0.000, 0.000), H at (0.000, 0.000, 0.500) and Rh at (0.129, 0.250, 0.625).



<B>
Computed, not measured: crystalline TlHRh2 at its relaxed geometry at the PBE level of DFT.

The structure belongs to space group R-3m (No. 166, hexagonal axes); the cell edges are 3.0386, 3.0386 and 20.0552 Å and the angles 90.00°, 90.00° and 120.00°. The distinct sites, in fractional coordinates, are Tl at (0.0000, 0.0000, 0.0000), H at (0.0000, 0.0000, 0.5000) and Rh at (0.0000, 0.0000, 0.2224).



So which one is most stable? That would be <A>, about 3.8 kJ/mol of atoms below the next structure.



<A>
Computed, not measured: crystalline TlHRh2 at its relaxed geometry at the PBE level of DFT.

The structure belongs to space group Fm-3m (No. 225); the cell edges are 6.192, 6.192 and 6.192 Å and the angles 90.00°, 90.00° and 90.00°. The distinct sites, in fractional coordinates, are Tl at (0.000, 0.000, 0.000), H at (0.000, 0.000, 0.500) and Rh at (0.250, 0.250, 0.250).



<B>
Computed, not measured: crystalline TlHRh2 at its relaxed geometry at the PBE level of DFT.

The structure belongs to space group R3m (No. 160, hexagonal axes); the cell edges are 3.0639, 3.0639 and 19.9009 Å and the angles 90.00°, 90.00° and 120.00°. The distinct sites, in fractional coordinates, are Tl at (0.0000, 0.0000, 0.0000), H at (0.0000, 0.0000, 0.1846), Rh at (0.0000, 0.0000, 0.5540) and Rh at (0.0000, 0.0000, 0.7763).



So which one is most stable? That would be <B>, about 47.4 kJ/mol of atoms below the next structure.



<A>
Computed, not measured: crystalline TlHRh at its relaxed geometry at the PBE level of DFT.

The structure belongs to space group I4mm (No. 107); the cell edges are 2.927, 2.927 and 9.875 Å and the angles 90.00°, 90.00° and 90.00°. The distinct sites, in fractional coordinates, are Tl at (0.000, 0.000, 0.000), H at (0.000, 0.000, 0.248) and Rh at (0.000, 0.000, 0.721).



<B>
Computed, not measured: crystalline TlHRh at its relaxed geometry at the PBE level of DFT.

The structure belongs to space group C2/m (No. 12); the cell edges are 14.325, 3.011 and 4.720 Å and the angles 90.00°, 101.87° and 90.00°. The distinct sites, in fractional coordinates, are Tl at (0.081, 0.000, 0.297), H at (0.199, 0.500, 0.870) and Rh at (0.249, 0.500, 0.255).



<C>
Computed, not measured: crystalline TlHRh at its relaxed geometry at the PBE level of DFT.

The structure belongs to space group P-6m2 (No. 187); the cell edges are 3.2651, 3.2651 and 4.4103 Å and the angles 90.00°, 90.00° and 120.00°. The distinct sites, in fractional coordinates, are Tl at (0.0000, 0.0000, 0.0000), H at (0.3333, 0.6667, 0.5000) and Rh at (0.6667, 0.3333, 0.5000).



<D>
Computed, not measured: crystalline TlHRh at its relaxed geometry at the PBE level of DFT.

The structure belongs to space group P2_1/m (No. 11); the cell edges are 5.211, 3.366 and 5.533 Å and the angles 90.00°, 113.70° and 90.00°. The distinct sites, in fractional coordinates, are Tl at (0.211, 0.250, 0.412), H at (0.376, 0.750, 0.957) and Rh at (0.241, 0.250, 0.936).



So which one is most stable? That would be <C>, about 1.7 kJ/mol of atoms below the next structure.



<A>
Computed, not measured: crystalline TmH2Rh at its relaxed geometry at the PBE level of DFT.

The structure belongs to space group R-3m (No. 166, hexagonal axes); the cell edges are 3.8060, 3.8060 and 11.8956 Å and the angles 90.00°, 90.00° and 120.00°. The distinct sites, in fractional coordinates, are Tm at (0.0000, 0.0000, 0.0000), H at (0.0000, 0.0000, 0.3600) and Rh at (0.0000, 0.0000, 0.5000).



<B>
Computed, not measured: crystalline TmH2Rh at its relaxed geometry at the PBE level of DFT.

The structure belongs to space group Pna2_1 (No. 33); the cell edges are 6.109, 6.249 and 4.864 Å and the angles 90.00°, 90.00° and 90.00°. The distinct sites, in fractional coordinates, are Tm at (0.178, 0.125, 0.000), H at (0.027, 0.434, 0.815), H at (0.163, 0.110, 0.500) and Rh at (0.041, 0.689, 0.994).



So which one is most stable? That would be <B>, about 8.6 kJ/mol of atoms below the next structure.



<A>
Computed, not measured: crystalline TmHRh2 at its relaxed geometry at the PBE level of DFT.

The structure belongs to space group P4/mmm (No. 123); the cell edges are 3.107, 3.107 and 5.997 Å and the angles 90.00°, 90.00° and 90.00°. The distinct sites, in fractional coordinates, are Tm at (0.000, 0.000, 0.000), H at (0.000, 0.000, 0.500) and Rh at (0.500, 0.500, 0.290).



<B>
Computed, not measured: crystalline TmHRh2 at its relaxed geometry at the PBE level of DFT.

The structure belongs to space group R-3m (No. 166, hexagonal axes); the cell edges are 2.9683, 2.9683 and 22.2899 Å and the angles 90.00°, 90.00° and 120.00°. The distinct sites, in fractional coordinates, are Tm at (0.0000, 0.0000, 0.0000), H at (0.0000, 0.0000, 0.5000) and Rh at (0.0000, 0.0000, 0.1153).



So which one is most stable? That would be <A>, about 24.4 kJ/mol of atoms below the next structure.



<A>
Computed, not measured: crystalline UHRh at its relaxed geometry at the PBE level of DFT.

The structure belongs to space group Cmce (No. 64); the cell edges are 5.435, 8.022 and 7.992 Å and the angles 90.00°, 90.00° and 90.00°. The distinct sites, in fractional coordinates, are U at (0.000, 0.142, 0.088), H at (0.000, 0.144, 0.393) and Rh at (0.250, 0.114, 0.750).



<B>
Computed, not measured: crystalline UHRh at its relaxed geometry at the PBE level of DFT.

The structure belongs to space group P3m1 (No. 156); the cell edges are 3.4498, 3.4498 and 4.1899 Å and the angles 90.00°, 90.00° and 120.00°. The distinct sites, in fractional coordinates, are U at (0.0000, 0.0000, 0.0000), H at (0.3333, 0.6667, 0.2204) and Rh at (0.6667, 0.3333, 0.5774).



So which one is most stable? That would be <B>, about 4.8 kJ/mol of atoms below the next structure.